Here is a relaxed PmAl2 crystal from the Open Quantum Materials Database. Energies are from PBE.

Properties
Space-group type: Fd-3m
Calculated density: 5.15 g/cm³

The structure in POSCAR format:
```
PmAl2
1.0
0.000 4.003 4.003
4.003 0.000 4.003
4.003 4.003 0.000
Pm Al
2 4
Direct
0.125 0.125 0.125
0.875 0.875 0.875
0.000 0.500 0.500
0.500 0.000 0.500
0.500 0.500 0.000
0.500 0.500 0.500
```



Here is a relaxed PmAl2 crystal from the Open Quantum Materials Database. Energies are from PBE.

Properties
Space-group type: Fd-3m
Calculated density: 0.92 g/cm³

The structure in POSCAR format:
```
PmAl2
1.0
0.000 7.116 7.116
7.116 0.000 7.116
7.116 7.116 0.000
Pm Al
2 4
Direct
0.125 0.125 0.125
0.875 0.875 0.875
0.000 0.000 0.000
0.000 0.000 0.500
0.000 0.500 0.000
0.500 0.000 0.000
```



Here is a relaxed PmAl3 crystal from the Open Quantum Materials Database. Energies are from PBE.

Properties
Space-group type: P6_3/mmc
Calculated density: 4.51 g/cm³

The structure in POSCAR format:
```
PmAl3
1.0
6.468 0.000 0.000
-3.234 5.601 0.000
0.000 0.000 4.597
Pm Al
2 6
Direct
0.333 0.667 0.250
0.667 0.333 0.750
0.143 0.286 0.750
0.143 0.857 0.750
0.286 0.143 0.250
0.714 0.857 0.750
0.857 0.143 0.250
0.857 0.714 0.250
```



Here is a relaxed Pm3Al2 crystal from the Open Quantum Materials Database. Energies are from PBE.

Properties
Space-group type: R-3c
Calculated density: 5.01 g/cm³

The structure in POSCAR format:
```
Pm3Al2
1.0
3.287 1.898 8.661
-3.287 1.898 8.661
0.000 -3.796 8.661
Pm Al
6 4
Direct
0.078 0.750 0.422
0.250 0.578 0.922
0.422 0.078 0.750
0.578 0.922 0.250
0.750 0.422 0.078
0.922 0.250 0.578
0.165 0.165 0.165
0.335 0.335 0.335
0.665 0.665 0.665
0.835 0.835 0.835
```



| no. | final energy (eV per atom) |
| --- | --- |
| 1 | -4.5910 |
| 2 | -2.2574 |
| 3 | -4.4475 |
| 4 | -4.2934 |